Entry 1:
First-principles (SCAN) data for MoRu at its PBEsol-relaxed geometry, as listed in Alexandria via LeMat-Bulk.

Lattice parameters (Å, degrees): 2.6752 4.0901 5.3571 90.00 100.16 90.00
Closest atoms and distances in Å follow each position.
Space group P2_1/m (No. 11)
One atom of each set of equivalent atoms:
Mo 0.1921 0.2500 0.1348 x2  6 Ru 2.60-2.86, 4 Mo 2.61-2.68
Ru 0.3089 0.2500 0.6272 x2  6 Mo 2.60-2.86, 6 Ru 2.68-2.82

## Properties
**ΔE_f**: 0.18 eV per atom

=====

Entry 2:
First-principles (SCAN) data for Sr2TcBPt at its PBEsol-relaxed geometry, as listed in Alexandria via LeMat-Bulk.

Lattice parameters (Å, degrees): 5.4577 5.4577 3.9084 90.00 90.00 90.00
Closest atoms and distances in Å follow each position.
Space group P4/mmm (No. 123)
One atom of each set of equivalent atoms:
Sr 0.0000 0.5000 0.0000 x2  2 Tc 2.73
Tc 0.0000 0.0000 0.0000 x1  2 B 1.95
B 0.0000 0.0000 0.5000 x1  2 Tc 1.95
Pt 0.5000 0.5000 0.5000 x1  8 Sr 3.36

## Properties
**ΔE_f**: 0.57 eV per atom

=====

Entry 3:
First-principles (SCAN) data for LiCoSi2 at its PBEsol-relaxed geometry, as listed in Alexandria via LeMat-Bulk.

Lattice parameters (Å, degrees): 4.7018 4.7018 14.0208 90.00 90.00 90.00
Closest atoms and distances in Å follow each position.
Space group I-42d (No. 122)
One atom of each set of equivalent atoms:
Li 0.0000 0.0000 0.0000 x4  4 Si 2.94
Co 0.0000 0.0000 0.5000 x4  4 Si 2.13
Si 0.0647 0.7500 0.6250 x8  2 Co 2.13

## Properties
**E_form (uncorrected)**: 0.2552 eV per atom

=====

Entry 4:
First-principles (SCAN) data for NbHgO2F at its PBEsol-relaxed geometry, as listed in Alexandria via LeMat-Bulk.

Lattice parameters (Å, degrees): 3.9943 3.9943 4.2952 90.00 90.00 90.00
Closest atoms and distances in Å follow each position.
Space group P4/mmm (No. 123)
One atom of each set of equivalent atoms:
Nb 0.0000 0.0000 0.0000 x1  4 O 2.00, 2 F 2.15
Hg 0.5000 0.5000 0.5000 x1  4 F 2.82, 8 O 2.93
O 0.0000 0.5000 0.0000 x2  2 Nb 2.00
F 0.0000 0.0000 0.5000 x1  2 Nb 2.15

## Properties
**E_form (uncorrected)**: -1.8842 eV per atom

=====

Entry 5:
First-principles (SCAN) data for TlPb2Se at its PBEsol-relaxed geometry, as listed in Alexandria via LeMat-Bulk.

Lattice parameters (Å, degrees): 3.9077 5.1233 10.9626 90.00 90.00 90.00
Closest atoms and distances in Å follow each position.
Space group Imm2 (No. 44)
One atom of each set of equivalent atoms:
Tl 0.0000 0.0000 0.0000 x2  2 Se 3.19, 6 Pb 3.28-3.53
Pb 0.0000 0.0000 0.5581 x2  2 Se 3.04, 4 Tl 3.28
Pb 0.0000 0.5000 0.7781 x2  4 Se 3.22, 2 Pb 3.52, 2 Tl 3.53
Se 0.0000 0.5000 0.2705 x2  6 Pb 3.04-3.22, 2 Tl 3.19

## Properties
**E_form (uncorrected)**: -0.1159 eV per atom

=====

Entry 6:
First-principles (SCAN) data for Na4Ti3O8 at its PBEsol-relaxed geometry, as listed in Alexandria via LeMat-Bulk.

Lattice parameters (Å, degrees): 10.4385 6.0844 6.4814 90.00 123.21 90.00
Closest atoms and distances in Å follow each position.
Space group C2/m (No. 12)
One atom of each set of equivalent atoms:
Na 0.0000 0.0000 0.0000 x2  6 O 2.27-2.31
Na 0.0000 0.5000 0.5000 x2  6 O 2.17-2.20
Na 0.2500 0.2500 0.0000 x4  6 O 2.40-2.49
Ti 0.0000 0.0000 0.5000 x2  6 O 1.94-2.04
Ti 0.2500 0.2500 0.5000 x4  6 O 1.95-2.06
O 0.0278 0.2218 0.3119 x8  2 Ti 1.94-1.95
O 0.2338 0.0000 0.7001 x4  3 Ti 2.04-2.06
O 0.2481 0.5000 0.6937 x4  2 Ti 1.98, 1 Na 2.17

## Properties
**E_form (uncorrected)**: -2.7447 eV per atom

=====

Entry 7:
First-principles (SCAN) data for CoSiTeO2 at its PBEsol-relaxed geometry, as listed in Alexandria via LeMat-Bulk.

Lattice parameters (Å, degrees): 3.7261 3.7261 4.7708 90.00 90.00 90.00
Closest atoms and distances in Å follow each position.
Space group P4/mmm (No. 123)
One atom of each set of equivalent atoms:
Co 0.0000 0.0000 0.0000 x1  4 O 1.86
Si 0.0000 0.0000 0.5000 x1  2 Co 2.39, 4 Te 2.63
Te 0.5000 0.5000 0.5000 x1  4 Si 2.63
O 0.0000 0.5000 0.0000 x2  2 Co 1.86

## Properties
**E_form (uncorrected)**: -0.0792 eV per atom

=====

Entry 8:
First-principles (SCAN) data for Cu3TePt at its PBEsol-relaxed geometry, as listed in Alexandria via LeMat-Bulk.

Lattice parameters (Å, degrees): 4.6334 4.6334 4.6334 90.00 90.00 90.00
Closest atoms and distances in Å follow each position.
Space group Pm-3m (No. 221)
One atom of each set of equivalent atoms:
Cu 0.0000 0.0000 0.5000 x3  2 Te 2.32
Te 0.0000 0.0000 0.0000 x1  6 Cu 2.32
Pt 0.5000 0.5000 0.5000 x1  12 Cu 3.28

## Properties
**E_form (uncorrected)**: 1.0310 eV per atom

=====

Entry 9:
First-principles (SCAN) data for SrCoPb at its PBEsol-relaxed geometry, as listed in Alexandria via LeMat-Bulk.

Lattice parameters (Å, degrees): 6.6548 6.6548 6.6548 90.00 90.00 90.00
Closest atoms and distances in Å follow each position.
Space group F-43m (No. 216)
One atom of each set of equivalent atoms:
Sr 0.0000 0.0000 0.0000 x4  4 Co 2.88
Co 0.2500 0.2500 0.7500 x4  4 Pb 2.88, 4 Sr 2.88
Pb 0.0000 0.0000 0.5000 x4  4 Co 2.88

## Properties
**ΔE_f**: 0.29 eV per atom

=====

Entry 10:
First-principles (SCAN) data for SiB2Se at its PBEsol-relaxed geometry, as listed in Alexandria via LeMat-Bulk.

Lattice parameters (Å, degrees): 4.7491 4.7491 9.4679 90.00 90.00 90.00
Closest atoms and distances in Å follow each position.
Space group I-42d (No. 122)
One atom of each set of equivalent atoms:
Si 0.0000 0.0000 0.0000 x4  4 B 2.03
B 0.2418 0.2500 0.1250 x8  2 Si 2.03, 2 Se 2.08
Se 0.0000 0.0000 0.5000 x4  4 B 2.08

## Properties
**E_form (uncorrected)**: 0.0688 eV per atom

=====

Entry 11:
First-principles (SCAN) data for RbSr2CaS at its PBEsol-relaxed geometry, as listed in Alexandria via LeMat-Bulk.

Lattice parameters (Å, degrees): 6.3424 6.3424 5.8430 90.00 90.00 90.00
Closest atoms and distances in Å follow each position.
Space group P4/mmm (No. 123)
One atom of each set of equivalent atoms:
Rb 0.0000 0.0000 0.0000 x1  2 Ca 2.92, 4 Sr 3.17
Sr 0.0000 0.5000 0.0000 x2  2 Rb 3.17
Ca 0.0000 0.0000 0.5000 x1  2 Rb 2.92
S 0.5000 0.5000 0.5000 x1  8 Sr 4.31, 4 Ca 4.48

## Properties
**E_form (uncorrected)**: 0.9982 eV per atom

=====

Entry 12:
First-principles (SCAN) data for LaYBr2 at its PBEsol-relaxed geometry, as listed in Alexandria via LeMat-Bulk.

Lattice parameters (Å, degrees): 3.6060 3.6060 27.2164 90.00 90.00 120.00
Closest atoms and distances in Å follow each position.
Space group R-3m (No. 166, hexagonal axes)
One atom of each set of equivalent atoms:
La 0.0000 0.0000 0.0000 x3  6 Br 3.12
Y 0.0000 0.0000 0.5000 x3  6 Br 3.03
Br 0.0000 0.0000 0.2477 x6  3 Y 3.03, 3 La 3.12

## Properties
**E_form (uncorrected)**: -1.2801 eV per atom